Material: NaP2OsS8
Method: DFT, PBE-GGA
State: relaxed

Calculated values
total magnetic moment = 0.0 μB/cell
raw formation energy = -4.5 kcal/mol of atoms
space-group type = No. 147
uncorrected energy = -4.89 eV/atom

Lattice parameters (Å, degrees): 5.8286 5.8286 9.2725 90.00 90.00 120.00
Fractional coordinates of all 12 atoms:
S: 0.3417 0.0167 0.6432
P: 0.3333 0.6667 0.7094
S: 0.6583 0.9833 0.3568
S: 0.9833 0.3250 0.6432
S: 0.3333 0.6667 0.9242
P: 0.6667 0.3333 0.2906
S: 0.3250 0.3417 0.3568
S: 0.6750 0.6583 0.6432
S: 0.6667 0.3333 0.0758
Os: 0.0000 0.0000 0.5000
Na: 0.0000 0.0000 0.0000
S: 0.0167 0.6750 0.3568